A geometry-optimized RbMo3I structure. Source: Alexandria, functional PBE.

Values from the calculation:
E, eV/atom: -3.5630
Total magnetic moment, μB/cell: 2.2
Volume, A^3/atom: 22.8
ΔE to the lowest computed polymorph, eV per atom: 1.189
Uncorrected formation energy, kcal/mol of atoms: 79.31

```
data_RbMo3I
_chemical_formula_sum 'Rb1 Mo3 I1'
_symmetry_space_group_name_H-M 'P m -3 m'
_symmetry_Int_Tables_number 221
_symmetry_space_group_name_Hall '-P 4 2 3'
_cell_length_a 4.846
_cell_length_b 4.846
_cell_length_c 4.846
_cell_angle_alpha 90.00
_cell_angle_beta 90.00
_cell_angle_gamma 90.00
loop_
_atom_site_label
_atom_site_fract_x
_atom_site_fract_y
_atom_site_fract_z
Rb1 0.000 0.000 0.000
Mo1 0.000 0.000 0.500
I1 0.500 0.500 0.500
```